a | Computed, not measured: an optimized crystal structure of MgSc3 at the PBEsol level of DFT.

Results
The crystal system is orthorhombic.

Unit cell a=5.1727 b=6.4610 c=5.5809 alpha=90.00 beta=90.00 gamma=90.00
Space group Pmmn (No. 59, origin choice 2)
Unique sites:
Mg1 0.2500 0.2500 0.1710 [2 per cell]
Sc1 0.2500 0.5036 0.6647 [4 per cell]
Sc2 0.2500 0.7500 0.1575 [2 per cell]

=====

b | Computed, not measured: an optimized crystal structure of MgSc3 at the PBEsol level of DFT.

Results
The crystal system is orthorhombic.

Unit cell a=3.5682 b=4.9664 c=10.4288 alpha=90.00 beta=90.00 gamma=90.00
Space group Immm (No. 71)
Unique sites:
Mg1 0.0000 0.0000 0.0000 [2 per cell]
Sc1 0.0000 0.0000 0.5000 [2 per cell]
Sc2 0.0000 0.5000 0.2671 [4 per cell]

=====

Result of the stability comparison: a is the least stable of them.